Entry 1:
# SnPRuO2

A crystal of SnPRuO2 relaxed with PBEsol (meta-GGA SCAN, the Alexandria database).

Structure (POSCAR):
```
SnPRuO2
1.0
-1.717 -2.234 2.556
1.181 -3.079 -1.897
4.196 -0.083 2.746
Ru Sn O P
1 1 2 1
Cartesian
0.000 0.000 0.000
1.830 -2.698 1.703
0.591 -1.539 -0.949
-0.859 -1.117 1.278
2.098 -0.041 1.373
```

Results
Crystal system: tetragonal
Formation energy from raw total energies: -0.422 eV per atom
D(E_F): 2.4 states/eV/cell

***

Entry 2:
# Zr2MnGe2

A crystal of Zr2MnGe2 relaxed with PBEsol (meta-GGA SCAN, the Alexandria database).

Structure (POSCAR):
```
Zr2MnGe2
1.0
-0.530 -1.229 -3.772
-4.254 -4.451 2.048
-4.823 4.280 -0.716
Ge Mn Zr
4 2 4
Cartesian
-5.695 2.078 0.123
-6.744 -1.103 1.307
-3.382 -2.249 1.208
-2.333 0.932 0.024
0.000 0.000 0.000
-4.539 -0.085 0.666
-4.229 1.497 -2.016
-7.118 -0.053 -1.106
-5.378 -2.896 -0.424
-2.489 -1.346 -1.335
```

Results
Raw total energy: -121.6 eV/f.u.
Crystal system: tetragonal
D(E_F): 6.7 states/eV/cell

***

Entry 3:
# CeMgAu2

A crystal of CeMgAu2 relaxed with PBEsol (meta-GGA SCAN, the Alexandria database).

Structure (POSCAR):
```
CeMgAu2
1.0
-0.027 -1.753 -4.396
1.198 -4.516 -0.754
-3.782 -3.279 -1.217
Mg Au Ce
1 2 1
Cartesian
0.000 0.000 0.000
-2.217 -7.235 -4.745
-0.394 -2.313 -1.623
-1.306 -4.774 -3.184
```

Results
Raw total energy: -191.3 eV/f.u.
Crystal system: trigonal
D(E_F): 4.4 states/eV/cell